# NaZrBr2 | Alexandria via LeMat-Bulk | meta-GGA SCAN | PBEsol geometry
# theoretical density = 4.45 g/cm3
# raw formation energy = -3.599 eV/f.u.
# total energy = -19.358 eV/atom
# D(E_F) = 0.588 states/eV/atom
data_NaZrBr2
_symmetry_space_group_name_H-M 'P 1'
_symmetry_Int_Tables_number 1
_symmetry_space_group_name_Hall 'P 1'
_cell_length_a 9.270
_cell_length_b 9.270
_cell_length_c 9.270
_cell_angle_alpha 22.48
_cell_angle_beta 22.48
_cell_angle_gamma 22.48
loop_
_atom_site_label
_atom_site_type_symbol
_atom_site_fract_x
_atom_site_fract_y
_atom_site_fract_z
Na1 Na 0.000 0.000 0.000
Zr1 Zr 0.500 0.500 0.500
Br1 Br 0.403 0.403 0.403
Br2 Br 0.597 0.597 0.597